Entry 1:
Na2MgHg PBE-GGA relaxed; crystal system = trigonal; calculated formation energy = 0.15 eV per formula unit; final energy = -1.0968 eV per atom
1.0
1.695 0.979 11.415
-1.695 0.979 11.415
0.000 -1.957 11.415
Na Mg Hg
2 1 1
Direct
0.093 0.093 0.093
0.907 0.907 0.907
0.000 0.000 0.000
0.500 0.500 0.500

=====

Entry 2:
ThCuAsN PBE-GGA relaxed; crystal system = tetragonal; final energy = -7.1548 eV per atom; E_form (uncorrected) = -1032 meV per atom
1.0
4.114 0.000 0.000
0.000 4.114 0.000
0.000 0.000 8.379
Th Cu As N
2 2 2 2
Direct
0.250 0.250 0.137
0.750 0.750 0.863
0.250 0.750 0.500
0.750 0.250 0.500
0.250 0.250 0.660
0.750 0.750 0.340
0.250 0.750 0.000
0.750 0.250 0.000

=====

Entry 3:
MnTcB PBE-GGA relaxed; energy above the most stable polymorph in this dataset = 274 meV per atom; crystal system = trigonal; calculated formation energy = -0.03 eV per formula unit; final energy = -8.7481 eV per atom
1.0
1.456 0.840 8.914
-1.456 0.840 8.914
0.000 -1.681 8.914
Mn Tc B
2 2 2
Direct
0.204 0.204 0.204
0.796 0.796 0.796
0.375 0.375 0.375
0.625 0.625 0.625
0.092 0.092 0.092
0.908 0.908 0.908